--- w ---
Below is TeS2BrN after structural relaxation, with properties calculated at the PBE-GGA level.

The calculation puts the magnetization at 0.0 Bohr magnetons per cell.

Unit cell a=5.153 b=5.153 c=3.752 alpha=90.00 beta=90.00 gamma=90.00
Fractional positions:
Br 0.000 0.000 0.000
Te 0.500 0.500 0.500
N 0.000 0.000 0.500
S 0.000 0.500 0.000
S 0.500 0.000 0.000


--- x ---
Below is TeS2BrN after structural relaxation, with properties calculated at the PBE-GGA level.

The calculation puts the magnetization at 0.0 Bohr magnetons per cell.

Unit cell a=5.196 b=5.196 c=3.971 alpha=90.00 beta=90.00 gamma=90.00
Fractional positions:
N 0.000 0.000 0.500
Te 0.000 0.000 0.000
Br 0.500 0.500 0.500
S 0.000 0.500 0.000
S 0.500 0.000 0.000


Stability summary: most stable x, least stable w.


--- w ---
Below is TiS2BrN after structural relaxation, with properties calculated at the PBE-GGA level.

The calculation puts the magnetization at 0.0 Bohr magnetons per cell.

Unit cell a=4.866 b=4.866 c=3.705 alpha=90.00 beta=90.00 gamma=90.00
Fractional positions:
N 0.000 0.000 0.500
Br 0.000 0.000 0.000
S 0.000 0.500 0.000
Ti 0.500 0.500 0.500
S 0.500 0.000 0.000


--- x ---
Below is TiS2BrN after structural relaxation, with properties calculated at the PBE-GGA level.

The calculation puts the magnetization at 0.0 Bohr magnetons per cell.

Unit cell a=4.888 b=4.888 c=3.834 alpha=90.00 beta=90.00 gamma=90.00
Fractional positions:
S 0.500 0.000 0.000
Br 0.500 0.500 0.500
Ti 0.000 0.000 0.000
S 0.000 0.500 0.000
N 0.000 0.000 0.500


--- y ---
Below is TiS2BrN after structural relaxation, with properties calculated at the PBE-GGA level.

The calculation puts the magnetization at 3.5 Bohr magnetons per cell.

Unit cell a=5.073 b=4.775 c=5.073 alpha=90.00 beta=90.00 gamma=90.00
Fractional positions:
S 0.000 0.000 0.500
S 0.500 0.000 0.000
N 0.500 0.500 0.500
Br 0.000 0.000 0.000
Ti 0.000 0.500 0.000


Stability summary: most stable x, least stable y.


--- w ---
Below is TlSBrN2 after structural relaxation, with properties calculated at the PBE-GGA level.

The calculation puts the magnetization at 4.1 Bohr magnetons per cell.

Unit cell a=4.434 b=4.434 c=5.691 alpha=90.00 beta=90.00 gamma=90.00
Fractional positions:
S 0.000 0.000 0.500
Br 0.500 0.500 0.500
N 0.000 0.500 0.000
N 0.500 0.000 0.000
Tl 0.000 0.000 0.000


--- x ---
Below is TlSBrN2 after structural relaxation, with properties calculated at the PBE-GGA level.

The calculation puts the magnetization at 3.1 Bohr magnetons per cell.

Unit cell a=4.385 b=4.385 c=5.200 alpha=90.00 beta=90.00 gamma=90.00
Fractional positions:
N 0.000 0.500 0.000
Br 0.000 0.000 0.000
Tl 0.500 0.500 0.500
N 0.500 0.000 0.000
S 0.000 0.000 0.500


Stability summary: most stable w, least stable x.


--- w ---
Below is ZrSBrN2 after structural relaxation, with properties calculated at the PBE-GGA level.

The calculation puts the magnetization at 0.0 Bohr magnetons per cell.

Unit cell a=3.970 b=3.970 c=4.669 alpha=90.00 beta=90.00 gamma=90.00
Fractional positions:
Br 0.000 0.000 0.000
Zr 0.500 0.500 0.500
S 0.000 0.000 0.500
N 0.500 0.000 0.000
N 0.000 0.500 0.000


--- x ---
Below is ZrSBrN2 after structural relaxation, with properties calculated at the PBE-GGA level.

The calculation puts the magnetization at 0.4 Bohr magnetons per cell.

Unit cell a=4.117 b=4.117 c=5.738 alpha=90.00 beta=90.00 gamma=90.00
Fractional positions:
Zr 0.000 0.000 0.000
Br 0.500 0.500 0.500
S 0.000 0.000 0.500
N 0.000 0.500 0.000
N 0.500 0.000 0.000


Stability summary: most stable x, least stable w.


--- w ---
Below is ZrS2BrN after structural relaxation, with properties calculated at the PBE-GGA level.

The calculation puts the magnetization at 2.0 Bohr magnetons per cell.

Unit cell a=5.122 b=5.122 c=4.239 alpha=90.00 beta=90.00 gamma=90.00
Fractional positions:
Zr 0.000 0.000 0.000
Br 0.500 0.500 0.500
S 0.500 0.000 0.000
S 0.000 0.500 0.000
N 0.000 0.000 0.500


--- x ---
Below is ZrS2BrN after structural relaxation, with properties calculated at the PBE-GGA level.

The calculation puts the magnetization at 0.0 Bohr magnetons per cell.

Unit cell a=4.831 b=3.767 c=4.831 alpha=90.00 beta=90.00 gamma=90.00
Fractional positions:
N 0.000 0.500 0.000
S 0.500 0.000 0.000
Zr 0.500 0.500 0.500
S 0.000 0.000 0.500
Br 0.000 0.000 0.000


Stability summary: most stable w, least stable x.


--- w ---
Below is SbBrN2 after structural relaxation, with properties calculated at the PBE-GGA level.

The calculation puts the magnetization at 0.0 Bohr magnetons per cell.

Unit cell a=7.125 b=7.125 c=7.125 alpha=26.89 beta=26.89 gamma=26.89
Fractional positions:
N 0.890 0.890 0.890
Br 0.500 0.500 0.500
N 0.110 0.110 0.110
Sb 0.000 0.000 0.000


--- x ---
Below is SbBrN2 after structural relaxation, with properties calculated at the PBE-GGA level.

The calculation puts the magnetization at 3.9 Bohr magnetons per cell.

Unit cell a=5.925 b=5.925 c=6.031 alpha=60.58 beta=60.58 gamma=90.00
Fractional positions:
Sb 0.750 0.250 0.500
N 0.727 0.125 0.250
N 0.023 0.625 0.250
Sb 0.000 0.000 0.000
N 0.875 0.977 0.750
Br 0.500 0.500 0.000
N 0.375 0.273 0.750
Br 0.250 0.750 0.500


Stability summary: most stable x, least stable w.


--- w ---
Below is Sb2BrN after structural relaxation, with properties calculated at the PBE-GGA level.

The calculation puts the magnetization at 0.0 Bohr magnetons per cell.

Unit cell a=4.891 b=4.891 c=4.891 alpha=60.00 beta=60.00 gamma=60.00
Fractional positions:
Sb 0.750 0.750 0.750
N 0.000 0.000 0.000
Sb 0.250 0.250 0.250
Br 0.500 0.500 0.500


--- x ---
Below is Sb2BrN after structural relaxation, with properties calculated at the PBE-GGA level.

The calculation puts the magnetization at 0.0 Bohr magnetons per cell.

Unit cell a=5.710 b=5.710 c=7.872 alpha=68.73 beta=68.73 gamma=90.00
Fractional positions:
Sb 0.270 0.625 0.250
Sb 0.375 0.520 0.750
N 0.250 0.750 0.500
Sb 0.875 0.730 0.750
N 0.500 0.500 0.000
Br 0.750 0.250 0.500
Sb 0.480 0.125 0.250
Br 0.000 0.000 0.000


Stability summary: most stable x, least stable w.


--- w ---
Below is ScBr2N after structural relaxation, with properties calculated at the PBE-GGA level.

The calculation puts the magnetization at 2.2 Bohr magnetons per cell.

Unit cell a=9.999 b=9.999 c=9.999 alpha=21.68 beta=21.68 gamma=21.68
Fractional positions:
Br 0.110 0.110 0.110
N 0.000 0.000 0.000
Sc 0.500 0.500 0.500
Br 0.890 0.890 0.890


--- x ---
Below is ScBr2N after structural relaxation, with properties calculated at the PBE-GGA level.

The calculation puts the magnetization at 3.0 Bohr magnetons per cell.

Unit cell a=10.695 b=10.695 c=10.695 alpha=21.99 beta=21.99 gamma=21.99
Fractional positions:
N 0.500 0.500 0.500
Sc 0.000 0.000 0.000
Br 0.923 0.923 0.923
Br 0.077 0.077 0.077


Stability summary: most stable w, least stable x.


--- w ---
Below is ScBr2N after structural relaxation, with properties calculated at the PBE-GGA level.

The calculation puts the magnetization at 2.0 Bohr magnetons per cell.

Unit cell a=4.786 b=4.786 c=4.786 alpha=60.00 beta=60.00 gamma=60.00
Fractional positions:
Br 0.250 0.250 0.250
Br 0.750 0.750 0.750
Sc 0.500 0.500 0.500
N 0.000 0.000 0.000


--- x ---
Below is ScBr2N after structural relaxation, with properties calculated at the PBE-GGA level.

The calculation puts the magnetization at 4.0 Bohr magnetons per cell.

Unit cell a=5.794 b=5.794 c=8.505 alpha=70.09 beta=70.09 gamma=90.00
Fractional positions:
Br 0.875 0.934 0.750
Sc 0.000 0.000 0.000
Br 0.684 0.125 0.250
Br 0.066 0.625 0.250
Br 0.375 0.316 0.750
Sc 0.750 0.250 0.500
N 0.250 0.750 0.500
N 0.500 0.500 0.000


Stability summary: most stable w, least stable x.


--- w ---
Below is ScBr3N after structural relaxation, with properties calculated at the PBE-GGA level.

The calculation puts the magnetization at 6.0 Bohr magnetons per cell.

Unit cell a=9.374 b=5.322 c=9.077 alpha=105.97 beta=99.67 gamma=55.41
Fractional positions:
Sc 0.434 0.900 0.527
Br 0.681 0.554 0.316
Br 0.188 0.246 0.739
Br 0.687 0.746 0.739
N 0.930 0.703 0.100
N 0.438 0.597 0.954
Br 0.180 0.054 0.315
Sc 0.934 0.400 0.528
Br 0.434 0.400 0.526
Br 0.934 0.900 0.529


--- x ---
Below is ScBr3N after structural relaxation, with properties calculated at the PBE-GGA level.

The calculation puts the magnetization at 3.0 Bohr magnetons per cell.

Unit cell a=5.311 b=5.311 c=5.311 alpha=90.00 beta=90.00 gamma=90.00
Fractional positions:
N 0.500 0.500 0.500
Br 0.500 0.000 0.000
Sc 0.000 0.000 0.000
Br 0.000 0.500 0.000
Br 0.000 0.000 0.500


--- y ---
Below is ScBr3N after structural relaxation, with properties calculated at the PBE-GGA level.

The calculation puts the magnetization at 0.0 Bohr magnetons per cell.

Unit cell a=4.712 b=4.712 c=4.712 alpha=90.00 beta=90.00 gamma=90.00
Fractional positions:
Sc 0.500 0.500 0.500
Br 0.000 0.000 0.500
N 0.000 0.000 0.000
Br 0.000 0.500 0.000
Br 0.500 0.000 0.000


Stability summary: most stable w, least stable y.


--- w ---
Below is ScSeBrN2 after structural relaxation, with properties calculated at the PBE-GGA level.

The calculation puts the magnetization at 0.4 Bohr magnetons per cell.

Unit cell a=4.027 b=4.027 c=5.038 alpha=90.00 beta=90.00 gamma=90.00
Fractional positions:
Br 0.000 0.000 0.000
Sc 0.500 0.500 0.500
N 0.500 0.000 0.000
N 0.000 0.500 0.000
Se 0.000 0.000 0.500


--- x ---
Below is ScSeBrN2 after structural relaxation, with properties calculated at the PBE-GGA level.

The calculation puts the magnetization at 3.8 Bohr magnetons per cell.

Unit cell a=4.274 b=4.274 c=5.712 alpha=90.00 beta=90.00 gamma=90.00
Fractional positions:
Se 0.000 0.000 0.500
Sc 0.000 0.000 0.000
N 0.000 0.500 0.000
Br 0.500 0.500 0.500
N 0.500 0.000 0.000


Stability summary: most stable x, least stable w.


--- w ---
Below is ScSe2BrN after structural relaxation, with properties calculated at the PBE-GGA level.

The calculation puts the magnetization at 0.0 Bohr magnetons per cell.

Unit cell a=4.603 b=4.603 c=4.364 alpha=90.00 beta=90.00 gamma=90.00
Fractional positions:
Br 0.000 0.000 0.500
Sc 0.500 0.500 0.500
Se 0.000 0.500 0.000
N 0.000 0.000 0.000
Se 0.500 0.000 0.000


--- x ---
Below is ScSe2BrN after structural relaxation, with properties calculated at the PBE-GGA level.

The calculation puts the magnetization at 0.1 Bohr magnetons per cell.

Unit cell a=5.206 b=5.206 c=3.818 alpha=90.00 beta=90.00 gamma=90.00
Fractional positions:
N 0.000 0.000 0.500
Se 0.000 0.500 0.000
Se 0.500 0.000 0.000
Br 0.000 0.000 0.000
Sc 0.500 0.500 0.500


--- y ---
Below is ScSe2BrN after structural relaxation, with properties calculated at the PBE-GGA level.

The calculation puts the magnetization at 4.4 Bohr magnetons per cell.

Unit cell a=5.212 b=5.212 c=5.393 alpha=90.00 beta=90.00 gamma=90.00
Fractional positions:
N 0.500 0.500 0.500
Br 0.000 0.000 0.500
Se 0.000 0.500 0.000
Sc 0.000 0.000 0.000
Se 0.500 0.000 0.000


--- z ---
Below is ScSe2BrN after structural relaxation, with properties calculated at the PBE-GGA level.

The calculation puts the magnetization at 0.0 Bohr magnetons per cell.

Unit cell a=5.305 b=5.305 c=4.075 alpha=90.00 beta=90.00 gamma=90.00
Fractional positions:
Br 0.500 0.500 0.500
Se 0.500 0.000 0.000
Se 0.000 0.500 0.000
Sc 0.000 0.000 0.000
N 0.000 0.000 0.500


Stability summary: most stable w, least stable x.